A plane-wave DFT calculation with PBE-GGA was carried out for a relaxed structure of Tl5Hg3Te2.

## Properties
**E_form (uncorrected)**: -1.46 eV/f.u.
**Crystal system**: monoclinic
**VASP energy**: -0.075 Ha/atom
**Density of states at the Fermi level**: 0.23 states/eV/atom

a b c (Å): 17.3235 5.3040 6.9822
angles (deg): 90.00 93.01 90.00
Space group C2/m (No. 12)
Asymmetric unit:
1 Tl 0.0000 0.0000 0.0000 (multiplicity 2)
2 Tl 0.0961 0.5000 0.7293 (multiplicity 4)
3 Tl 0.1913 0.0000 0.3867 (multiplicity 4)
4 Hg 0.0000 0.0000 0.5000 (multiplicity 2)
5 Hg 0.2104 0.0000 0.9018 (multiplicity 4)
6 Te 0.0963 0.5000 0.2324 (multiplicity 4)

A plane-wave DFT calculation with PBE-GGA was carried out for a relaxed structure of Tl2HgTe.

## Properties
**Excess energy over the best structure of this formula in the dataset**: 0 meV per atom
**E_form (uncorrected)**: -0.86 eV/f.u.
**Crystal system**: monoclinic
**VASP energy**: -0.083 Ha/atom

a b c (Å): 8.7108 5.1425 6.9686
angles (deg): 90.00 115.86 90.00
Space group C2/m (No. 12)
Asymmetric unit:
1 Tl 0.2494 0.0000 0.2447 (multiplicity 4)
2 Hg 0.0000 0.0000 0.5000 (multiplicity 2)
3 Te 0.0000 0.5000 0.0000 (multiplicity 2)

A plane-wave DFT calculation with PBE-GGA was carried out for a relaxed structure of TlHgTe.

## Properties
**Excess energy over the best structure of this formula in the dataset**: 107 meV per atom
**E_form (uncorrected)**: -0.23 eV/f.u.
**Crystal system**: trigonal
**VASP energy**: -0.074 Ha/atom
**Density of states at the Fermi level**: 0.41 states/eV/atom

a b c (Å): 5.7687 5.7687 3.2287
angles (deg): 90.00 90.00 120.00
Space group P3m1 (No. 156)
Asymmetric unit:
1 Tl 0.0000 0.0000 0.0000 (multiplicity 1)
2 Hg 0.6667 0.3333 0.5092 (multiplicity 1)
3 Te 0.3333 0.6667 0.5107 (multiplicity 1)

A plane-wave DFT calculation with PBE-GGA was carried out for a relaxed structure of Tl12Hg3Te5.

## Properties
**E_form (uncorrected)**: -1.65 eV/f.u.
**Crystal system**: cubic
**VASP energy**: -0.086 Ha/atom
**Density of states at the Fermi level**: 0.49 states/eV/atom

a b c (Å): 18.7619 18.7619 18.7619
angles (deg): 90.00 90.00 90.00
Space group Ia-3d (No. 230)
Asymmetric unit:
1 Tl 0.0161 0.0777 0.6535 (multiplicity 96)
2 Hg 0.0000 0.2500 0.1250 (multiplicity 24)
3 Te 0.0000 0.0000 0.0000 (multiplicity 16)
4 Te 0.0000 0.2500 0.3750 (multiplicity 24)

A plane-wave DFT calculation with PBE-GGA was carried out for a relaxed structure of TlHg2Te.

## Properties
**Excess energy over the best structure of this formula in the dataset**: 44 meV per atom
**E_form (uncorrected)**: -0.08 eV/f.u.
**Crystal system**: tetragonal
**VASP energy**: -0.057 Ha/atom
**Density of states at the Fermi level**: 0.31 states/eV/atom

a b c (Å): 3.3822 3.3822 10.7181
angles (deg): 90.00 90.00 90.00
Space group P4mm (No. 99)
Asymmetric unit:
1 Tl 0.0000 0.0000 0.0000 (multiplicity 1)
2 Hg 0.0000 0.0000 0.4867 (multiplicity 1)
3 Hg 0.5000 0.5000 0.2598 (multiplicity 1)
4 Te 0.5000 0.5000 0.7631 (multiplicity 1)

A plane-wave DFT calculation with PBE-GGA was carried out for a relaxed structure of Tm3Tl4HgTe8.

## Properties
**E_form (uncorrected)**: -12.29 eV/f.u.
**Crystal system**: trigonal
**VASP energy**: -0.139 Ha/atom
**Density of states at the Fermi level**: 0.44 states/eV/atom

a b c (Å): 8.8881 8.8881 23.7823
angles (deg): 90.00 90.00 120.00
Space group R-3m (No. 166, hexagonal axes)
Asymmetric unit:
1 Tm 0.0000 0.5000 0.0000 (multiplicity 9)
2 Tl 0.0000 0.0000 0.5000 (multiplicity 3)
3 Tl 0.0000 0.5000 0.5000 (multiplicity 9)
4 Hg 0.0000 0.0000 0.0000 (multiplicity 3)
5 Te 0.0000 0.0000 0.2620 (multiplicity 6)
6 Te 0.0060 0.5030 0.2614 (multiplicity 18)

A plane-wave DFT calculation with PBE-GGA was carried out for a relaxed structure of Tm3Tl3HgTe8.

## Properties
**E_form (uncorrected)**: -11.14 eV/f.u.
**Crystal system**: monoclinic
**VASP energy**: -0.140 Ha/atom
**Density of states at the Fermi level**: 0.41 states/eV/atom

a b c (Å): 14.9486 8.7468 9.5665
angles (deg): 90.00 121.14 90.00
Space group C2/m (No. 12)
Asymmetric unit:
1 Tm 0.0000 0.0000 0.0000 (multiplicity 2)
2 Tm 0.2500 0.2500 0.0000 (multiplicity 4)
3 Tl 0.0000 0.5000 0.5000 (multiplicity 2)
4 Tl 0.2500 0.2500 0.5000 (multiplicity 4)
5 Hg 0.0000 0.5000 0.0000 (multiplicity 2)
6 Te 0.0186 0.2064 0.7625 (multiplicity 8)
7 Te 0.2144 0.5000 0.1926 (multiplicity 4)
8 Te 0.2393 0.0000 0.2143 (multiplicity 4)

A plane-wave DFT calculation with PBE-GGA was carried out for a relaxed structure of TmTlHgTe3.

## Properties
**E_form (uncorrected)**: -4.12 eV/f.u.
**Crystal system**: monoclinic
**VASP energy**: -0.127 Ha/atom

a b c (Å): 9.3129 4.4636 10.4988
angles (deg): 90.00 106.71 90.00
Space group P2_1/m (No. 11)
Asymmetric unit:
1 Tm 0.1745 0.2500 0.1416 (multiplicity 2)
2 Tl 0.2877 0.7500 0.7660 (multiplicity 2)
3 Hg 0.4126 0.7500 0.3912 (multiplicity 2)
4 Te 0.0448 0.2500 0.8419 (multiplicity 2)
5 Te 0.2523 0.2500 0.4604 (multiplicity 2)
6 Te 0.3977 0.7500 0.1188 (multiplicity 2)